VASP calculation (PBE) on Pm4Ge5Pd3 after structural relaxation.

Results
Calculated formation energy: -8.1 eV per formula unit

a b c (Å): 6.2403 6.2403 11.1213
angles (deg): 116.67 116.67 43.92
Last column: nearest neighbours and their distance in Å.
Atoms (fractional coordinates):
Pm 0.1381 0.1381 0.4956  1 Pd 2.98, 7 Ge 3.03-3.32, 1 Pm 3.24
Pm 0.1644 0.1644 0.8445  5 Ge 3.08-3.44, 3 Pd 3.40-3.43
Pm 0.8356 0.8356 0.1555  5 Ge 3.08-3.44, 3 Pd 3.40-3.43
Pm 0.8619 0.8619 0.5044  1 Pd 2.98, 7 Ge 3.03-3.32, 1 Pm 3.24
Ge 0.0000 0.0000 0.0000  4 Pd 2.33-2.52
Ge 0.4154 0.4154 0.7383  3 Pd 2.58-2.60, 1 Ge 2.58
Ge 0.4242 0.4242 0.3616  1 Pd 2.51, 2 Ge 2.58-2.71
Ge 0.5758 0.5758 0.6384  1 Pd 2.51, 2 Ge 2.58-2.71
Ge 0.5846 0.5846 0.2617  3 Pd 2.58-2.60, 1 Ge 2.58
Pd 0.1768 0.1768 0.2491  4 Ge 2.51-2.60
Pd 0.5000 0.5000 0.0000  4 Ge 2.33-2.58
Pd 0.8232 0.8232 0.7509  4 Ge 2.51-2.60